{"formula": "BaSrIn2", "functional": "PBE-GGA", "state": "optimized geometry", "lattice": [[4.184, 0.000, 0.000], [0.000, 4.189, 0.000], [-0.007, 0.000, 8.316]], "species": ["Ba", "Sr", "In", "In"], "fractional_positions": [[0.000, 0.000, 0.000], [0.000, 0.000, 0.500], [0.500, 0.500, 0.278], [0.500, 0.500, 0.722]], "ef_ev_per_atom": -0.42}

---

{"formula": "Pm3In3Ir2", "functional": "PBE-GGA", "state": "optimized geometry", "lattice": [[7.999, 0.000, 0.000], [0.000, 16.844, 0.000], [0.000, 0.000, 5.850]], "species": ["Pm", "Pm", "Pm", "Pm", "Pm", "Pm", "Pm", "Pm", "Pm", "Pm", "Pm", "Pm", "In", "In", "In", "In", "In", "In", "In", "In", "In", "In", "In", "In", "Ir", "Ir", "Ir", "Ir", "Ir", "Ir", "Ir", "Ir"], "fractional_positions": [[0.036, 0.110, 0.099], [0.036, 0.390, 0.099], [0.161, 0.250, 0.651], [0.339, 0.750, 0.151], [0.464, 0.610, 0.599], [0.464, 0.890, 0.599], [0.536, 0.110, 0.401], [0.536, 0.390, 0.401], [0.661, 0.250, 0.849], [0.839, 0.750, 0.349], [0.964, 0.610, 0.901], [0.964, 0.890, 0.901], [0.174, 0.032, 0.599], [0.174, 0.468, 0.599], [0.174, 0.750, 0.652], [0.326, 0.250, 0.152], [0.326, 0.532, 0.099], [0.326, 0.968, 0.099], [0.674, 0.032, 0.901], [0.674, 0.468, 0.901], [0.674, 0.750, 0.848], [0.826, 0.250, 0.348], [0.826, 0.532, 0.401], [0.826, 0.968, 0.401], [0.118, 0.618, 0.381], [0.118, 0.882, 0.381], [0.382, 0.118, 0.881], [0.382, 0.382, 0.881], [0.618, 0.618, 0.119], [0.618, 0.882, 0.119], [0.882, 0.118, 0.619], [0.882, 0.382, 0.619]], "ef_ev_per_atom": -0.55}

---

{"formula": "LuZnGe2", "functional": "PBE-GGA", "state": "optimized geometry", "lattice": [[2.176, 1.256, 4.780], [-2.176, 1.256, 4.780], [0.000, -2.512, 4.780]], "species": ["Lu", "Zn", "Ge", "Ge"], "fractional_positions": [[0.000, 0.000, 0.000], [0.500, 0.500, 0.500], [0.227, 0.227, 0.227], [0.773, 0.773, 0.773]], "ef_ev_per_atom": -0.22}

---

{"formula": "BC2", "functional": "PBE-GGA", "state": "optimized geometry", "lattice": [[3.615, 0.000, 0.000], [-1.561, 4.162, 0.000], [-0.100, -1.484, 5.091]], "species": ["B", "B", "B", "B", "C", "C", "C", "C", "C", "C", "C", "C"], "fractional_positions": [[0.000, 0.000, 0.000], [0.080, 0.569, 0.875], [0.399, 0.235, 0.556], [0.706, 0.905, 0.689], [0.074, 0.586, 0.382], [0.311, 0.587, 0.625], [0.339, 0.616, 0.146], [0.429, 0.286, 0.068], [0.674, 0.260, 0.833], [0.677, 0.268, 0.297], [0.731, 0.927, 0.233], [0.990, 0.909, 0.456]], "ef_ev_per_atom": 0.34}

---

{"formula": "HfRuBr3", "functional": "PBE-GGA", "state": "optimized geometry", "lattice": [[4.972, 0.000, 0.000], [0.000, 4.972, 0.000], [0.000, 0.000, 4.972]], "species": ["Hf", "Ru", "Br", "Br", "Br"], "fractional_positions": [[0.000, 0.000, 0.000], [0.500, 0.500, 0.500], [0.000, 0.500, 0.500], [0.500, 0.000, 0.500], [0.500, 0.500, 0.000]], "formation_energy_uncorrected_ev_per_atom": 0.68}

---

{"formula": "HoErPb", "functional": "PBE-GGA", "state": "optimized geometry", "lattice": [[-1.952, 1.952, 5.714], [1.952, -1.952, 5.714], [1.952, 1.952, -5.714]], "species": ["Ho", "Er", "Pb"], "fractional_positions": [[0.000, 0.000, 0.000], [0.686, 0.686, 0.000], [0.342, 0.342, 0.000]], "ef_ev_per_atom": -0.26}

---

{"formula": "TmThTl", "functional": "PBE-GGA", "state": "optimized geometry", "lattice": [[5.475, 0.000, 0.000], [-2.737, 4.741, 0.000], [0.000, 0.000, 6.612]], "species": ["Tm", "Tm", "Th", "Th", "Tl", "Tl"], "fractional_positions": [[0.333, 0.667, 0.250], [0.667, 0.333, 0.750], [0.000, 0.000, 0.000], [0.000, 0.000, 0.500], [0.333, 0.667, 0.750], [0.667, 0.333, 0.250]], "ef_ev_per_atom": -0.16}

---

{"formula": "Tl4Hg2Se", "functional": "PBE-GGA", "state": "optimized geometry", "lattice": [[-3.055, 3.055, 7.672], [3.055, -3.055, 7.672], [3.055, 3.055, -7.672]], "species": ["Tl", "Tl", "Tl", "Tl", "Hg", "Hg", "Se"], "fractional_positions": [[0.000, 0.500, 0.500], [0.188, 0.188, 0.000], [0.500, 0.000, 0.500], [0.812, 0.812, 0.000], [0.395, 0.395, 0.000], [0.605, 0.605, 0.000], [0.000, 0.000, 0.000]], "formation_energy_uncorrected_ev_per_atom": 0.05}

---

{"formula": "GaB2H8", "functional": "PBE-GGA", "state": "optimized geometry", "lattice": [[3.932, -2.964, 0.000], [3.932, 2.964, 0.000], [-1.092, 0.000, 4.323]], "species": ["Ga", "B", "B", "H", "H", "H", "H", "H", "H", "H", "H"], "fractional_positions": [[0.000, 0.000, 0.000], [0.205, 0.205, 0.677], [0.795, 0.795, 0.323], [0.046, 0.692, 0.278], [0.174, 0.174, 0.381], [0.308, 0.954, 0.722], [0.359, 0.359, 0.804], [0.641, 0.641, 0.196], [0.692, 0.046, 0.278], [0.826, 0.826, 0.619], [0.954, 0.308, 0.722]], "final_energy_ev_per_atom": -3.84}

---

{"formula": "Sm2HoIn", "functional": "PBE-GGA", "state": "optimized geometry", "lattice": [[3.605, 0.000, 0.000], [0.000, 3.605, 0.000], [0.000, 0.000, 9.422]], "species": ["Sm", "Sm", "Ho", "In"], "fractional_positions": [[0.000, 0.000, 0.229], [0.000, 0.000, 0.771], [0.500, 0.500, 0.500], [0.500, 0.500, 0.000]], "ef_ev_per_atom": -0.21}

---

{"formula": "NaInGa2Ir", "functional": "PBE-GGA", "state": "optimized geometry", "lattice": [[4.855, 0.000, 0.000], [0.000, 4.855, 0.000], [0.000, 0.000, 5.221]], "species": ["Na", "In", "Ga", "Ga", "Ir"], "fractional_positions": [[0.000, 0.000, 0.000], [0.500, 0.500, 0.000], [0.000, 0.500, 0.500], [0.500, 0.000, 0.500], [0.500, 0.500, 0.500]], "ef_ev_per_atom": -0.19}

---

{"formula": "La3Dy7Ho", "functional": "PBE-GGA", "state": "optimized geometry", "lattice": [[6.568, 0.000, 0.000], [-0.627, 6.718, 0.000], [-1.252, -1.609, 8.418]], "species": ["La", "La", "La", "Dy", "Dy", "Dy", "Dy", "Dy", "Dy", "Dy", "Ho"], "fractional_positions": [[0.000, 0.000, 0.000], [0.194, 0.560, 0.167], [0.806, 0.440, 0.833], [0.012, 0.770, 0.577], [0.285, 0.274, 0.788], [0.436, 0.792, 0.853], [0.500, 0.500, 0.500], [0.564, 0.208, 0.147], [0.715, 0.726, 0.212], [0.988, 0.230, 0.423], [0.500, 0.000, 0.500]], "ef_ev_per_atom": 0.12}